Material: CsNdSn2I8
Method: DFT, PBE
State: optimized geometry Values from VASP.

Summary:
- Spin magnetization: 0.0000 μB/atom
- Formation energy from raw total energies: -931 meV/atom
- DFT total energy: -3.10 eV/atom

Cell and atoms, written as Quantum ESPRESSO input:
```
&SYSTEM
  ibrav = 0, nat = 12, ntyp = 4
/
ATOMIC_SPECIES
Cs 132.91 Cs.upf
Nd 144.24 Nd.upf
Sn 118.71 Sn.upf
I 126.90 I.upf
CELL_PARAMETERS angstrom
7.9340 0.1884 0.4537
0.2341 7.4870 0.3806
0.5765 0.5325 10.3330
ATOMIC_POSITIONS angstrom
Cs 0.2883 0.2662 5.1665
Nd 0.0000 0.0000 0.0000
Sn 4.3961 4.0383 8.1036
Sn 4.3486 4.1696 3.0638
I 1.4931 5.6460 2.5818
I 5.5284 5.8977 0.8169
I 6.8128 2.1428 2.6197
I 7.2516 2.5618 8.5856
I 3.2163 2.3102 10.3505
I 1.9319 6.0651 8.5476
I 5.2626 5.8852 5.2635
I 3.4820 2.3226 5.9038
```

Material: CsNdSnI6
Method: DFT, PBE
State: optimized geometry Values from VASP.

Summary:
- Spin magnetization: 0.0000 μB/atom
- Formation energy from raw total energies: -1162 meV/atom
- DFT total energy: -3.26 eV/atom

Cell and atoms, written as Quantum ESPRESSO input:
```
&SYSTEM
  ibrav = 0, nat = 9, ntyp = 4
/
ATOMIC_SPECIES
Cs 132.91 Cs.upf
Nd 144.24 Nd.upf
Sn 118.71 Sn.upf
I 126.90 I.upf
CELL_PARAMETERS angstrom
8.2393 0.0008 0.0004
4.1204 7.1349 -0.0004
0.0003 -0.0006 8.4914
ATOMIC_POSITIONS angstrom
Cs 8.2395 0.0002 8.4918
Nd 4.1201 2.3784 4.2454
Sn 8.2396 4.7568 4.2459
I 1.5854 2.6613 2.4123
I 3.0975 0.0421 6.0788
I 6.6543 2.6616 6.0788
I 2.6073 4.4320 6.0781
I 5.6328 4.4316 2.4124
I 5.1419 0.0413 2.4131
```

Material: Cs2SrNdI6
Method: DFT, PBE
State: optimized geometry Values from VASP.

Summary:
- Spin magnetization: 0.1010 μB/atom
- Formation energy from raw total energies: -1444 meV/atom
- DFT total energy: -3.19 eV/atom

Cell and atoms, written as Quantum ESPRESSO input:
```
&SYSTEM
  ibrav = 0, nat = 20, ntyp = 4
/
ATOMIC_SPECIES
Cs 132.91 Cs.upf
Sr 87.62 Sr.upf
Nd 144.24 Nd.upf
I 126.90 I.upf
CELL_PARAMETERS angstrom
8.9722 0.0000 0.0000
0.0000 9.0769 0.0000
0.0000 0.0000 12.7668
ATOMIC_POSITIONS angstrom
Cs 4.4861 6.9355 2.9863
Cs 0.0000 2.1414 9.3697
Cs 4.4861 6.9355 9.7805
Cs 0.0000 2.1414 3.3971
Sr 0.0000 6.7428 6.3834
Sr 4.4861 2.3340 0.0000
Nd 4.4861 2.2167 6.3834
Nd 0.0000 6.8602 0.0000
I 4.4861 2.2147 3.2303
I 4.4861 2.2147 9.5364
I 0.0000 6.8622 3.1531
I 0.0000 6.8622 9.6137
I 2.2676 9.0514 6.3834
I 6.7046 9.0514 6.3834
I 2.2348 4.4180 6.3834
I 6.7374 4.4180 6.3834
I 6.7210 4.6589 0.0000
I 2.2513 4.6589 0.0000
I 2.2185 0.0255 0.0000
I 6.7537 0.0255 0.0000
```

Material: CsNdTeI
Method: DFT, PBE
State: optimized geometry Values from VASP.

Summary:
- Spin magnetization: 0.0000 μB/atom
- Formation energy from raw total energies: -1236 meV/atom
- DFT total energy: -3.81 eV/atom

Cell and atoms, written as Quantum ESPRESSO input:
```
&SYSTEM
  ibrav = 0, nat = 4, ntyp = 4
/
ATOMIC_SPECIES
Cs 132.91 Cs.upf
Nd 144.24 Nd.upf
Te 127.60 Te.upf
I 126.90 I.upf
CELL_PARAMETERS angstrom
-3.4598 -1.5788 2.5283
4.0510 0.8381 1.9432
-1.7049 9.5077 -0.5379
ATOMIC_POSITIONS angstrom
Cs -2.2004 5.4464 1.1529
Nd 3.2943 1.5395 2.1242
Te -0.4236 8.6261 1.4482
I -2.2986 1.8520 2.9093
```

Material: CsNiI6
Method: DFT, PBE
State: optimized geometry Values from VASP.

Summary:
- Spin magnetization: 0.0000 μB/atom
- Formation energy from raw total energies: -294 meV/atom
- DFT total energy: -2.29 eV/atom

Cell and atoms, written as Quantum ESPRESSO input:
```
&SYSTEM
  ibrav = 0, nat = 8, ntyp = 3
/
ATOMIC_SPECIES
Cs 132.91 Cs.upf
Ni 58.69 Ni.upf
I 126.90 I.upf
CELL_PARAMETERS angstrom
6.9761 -0.3046 -0.3446
-1.0647 6.9011 -0.3446
-1.0647 -1.1881 6.8068
ATOMIC_POSITIONS angstrom
Cs 0.0000 0.0000 0.0000
Ni 2.4233 2.7042 3.0588
I 0.7231 3.5949 1.2571
I 0.7231 0.8069 3.7220
I 4.1236 1.8134 4.8605
I 1.3522 4.2970 4.8605
I 4.1236 4.6015 2.3957
I 3.4945 1.1114 1.2571
```

Material: CsNiI3
Method: DFT, PBE
State: optimized geometry Values from VASP.

Summary:
- Spin magnetization: 0.4045 μB/atom
- Formation energy from raw total energies: -652 meV/atom
- DFT total energy: -2.91 eV/atom

Cell and atoms, written as Quantum ESPRESSO input:
```
&SYSTEM
  ibrav = 0, nat = 20, ntyp = 3
/
ATOMIC_SPECIES
Cs 132.91 Cs.upf
Ni 58.69 Ni.upf
I 126.90 I.upf
CELL_PARAMETERS angstrom
8.2835 0.0000 -1.6306
0.0000 7.8440 0.0000
-2.1599 0.0000 14.6015
ATOMIC_POSITIONS angstrom
Cs -0.3612 4.0626 3.3841
Cs 3.4230 0.1406 3.1013
Cs 6.4848 3.7814 9.5868
Cs 2.7006 7.7034 9.8696
Ni 3.3244 4.4778 0.2573
Ni -0.2626 0.5558 6.2282
Ni 2.7993 3.3662 12.7136
Ni 6.3862 7.2883 6.7427
I 0.0549 6.0727 7.2465
I 0.8471 2.1507 13.8404
I 6.0688 1.7713 5.7244
I 5.2766 5.6933 -0.8695
I -1.3756 7.6442 10.8618
I 2.2775 3.7222 10.2251
I 7.4992 0.1998 2.1091
I 3.8461 4.1218 2.7458
I 4.3246 5.8236 6.7727
I 4.8609 1.9016 12.6837
I 1.7990 2.0204 6.1982
I 1.2628 5.9424 0.2872
```

Material: Cs2NiI7
Method: DFT, PBE
State: optimized geometry Values from VASP.

Summary:
- Spin magnetization: 0.0000 μB/atom
- Formation energy from raw total energies: -632 meV/atom
- DFT total energy: -2.47 eV/atom

Cell and atoms, written as Quantum ESPRESSO input:
```
&SYSTEM
  ibrav = 0, nat = 10, ntyp = 3
/
ATOMIC_SPECIES
Cs 132.91 Cs.upf
I 126.90 I.upf
Ni 58.69 Ni.upf
CELL_PARAMETERS angstrom
8.3364 0.0000 0.0000
0.0000 8.3364 0.0000
4.1682 4.1682 6.2948
ATOMIC_POSITIONS angstrom
Cs 8.3364 4.1682 3.1474
Cs 4.1682 8.3364 3.1474
I 0.0000 0.0000 0.0000
I 4.1682 4.1682 2.5841
I 8.3364 8.3364 3.7107
I 2.2455 2.2455 0.0000
I 6.0908 6.0908 0.0000
I 6.0908 2.2455 0.0000
I 2.2455 6.0908 0.0000
Ni 4.1682 4.1682 0.0000
```

Material: CsNi3I
Method: DFT, PBE
State: optimized geometry Values from VASP.

Summary:
- Spin magnetization: 0.0064 μB/atom
- Energy relative to the lowest polymorph listed for this composition: 988.6 meV/atom
- Formation energy from raw total energies: 1822 meV/atom
- DFT total energy: -2.13 eV/atom

Cell and atoms, written as Quantum ESPRESSO input:
```
&SYSTEM
  ibrav = 0, nat = 5, ntyp = 3
/
ATOMIC_SPECIES
Cs 132.91 Cs.upf
I 126.90 I.upf
Ni 58.69 Ni.upf
CELL_PARAMETERS angstrom
4.9126 0.0000 0.0000
0.0000 4.9126 0.0000
0.0000 0.0000 4.9126
ATOMIC_POSITIONS angstrom
Cs 0.0000 0.0000 0.0000
I 2.4563 2.4563 2.4563
Ni 0.0000 2.4563 0.0000
Ni 0.0000 0.0000 2.4563
Ni 2.4563 0.0000 0.0000
```

Material: Cs2NiI
Method: DFT, PBE
State: optimized geometry Values from VASP.

Summary:
- Spin magnetization: 0.2500 μB/atom
- Energy relative to the lowest polymorph listed for this composition: 0.0 meV/atom
- Formation energy from raw total energies: -147 meV/atom
- DFT total energy: -2.41 eV/atom

Cell and atoms, written as Quantum ESPRESSO input:
```
&SYSTEM
  ibrav = 0, nat = 4, ntyp = 3
/
ATOMIC_SPECIES
Cs 132.91 Cs.upf
I 126.90 I.upf
Ni 58.69 Ni.upf
CELL_PARAMETERS angstrom
-1.3424 -6.2861 -0.6886
-6.0145 -2.1492 0.9991
-3.5841 -2.0122 -4.9897
ATOMIC_POSITIONS angstrom
Cs -2.7353 -2.6119 -1.1698
Cs -8.2058 -7.8356 -3.5094
I -5.4705 -5.2237 -2.3396
Ni 0.0000 0.0000 0.0000
```

Material: CsNi2I
Method: DFT, PBE
State: optimized geometry Values from VASP.

Summary:
- Spin magnetization: 0.0000 μB/atom
- Energy relative to the lowest polymorph listed for this composition: 680.2 meV/atom
- Formation energy from raw total energies: 946 meV/atom
- DFT total energy: -2.55 eV/atom

Cell and atoms, written as Quantum ESPRESSO input:
```
&SYSTEM
  ibrav = 0, nat = 4, ntyp = 3
/
ATOMIC_SPECIES
Cs 132.91 Cs.upf
I 126.90 I.upf
Ni 58.69 Ni.upf
CELL_PARAMETERS angstrom
0.0000 3.5639 3.5639
3.5639 0.0000 3.5639
3.5639 3.5639 0.0000
ATOMIC_POSITIONS angstrom
Cs 3.5639 3.5639 3.5639
I 0.0000 0.0000 0.0000
Ni 1.7819 1.7819 1.7819
Ni 5.3458 5.3458 5.3458
```

Material: Cs3Ni2I8
Method: DFT, PBE
State: optimized geometry Values from VASP.

Summary:
- Spin magnetization: 0.3889 μB/atom
- Formation energy from raw total energies: -727 meV/atom
- DFT total energy: -2.77 eV/atom

Cell and atoms, written as Quantum ESPRESSO input:
```
&SYSTEM
  ibrav = 0, nat = 13, ntyp = 3
/
ATOMIC_SPECIES
Cs 132.91 Cs.upf
Ni 58.69 Ni.upf
I 126.90 I.upf
CELL_PARAMETERS angstrom
-4.7409 -3.0615 5.9188
3.2171 -4.9304 5.6764
1.6943 5.9095 10.0638
ATOMIC_POSITIONS angstrom
Cs 0.0000 0.0000 0.0000
Cs 0.2884 0.4363 6.1066
Cs -0.1179 -2.5187 15.5524
Ni 0.6683 1.2289 12.4708
Ni -0.4979 -3.3113 9.1882
I 1.1819 3.2284 13.9164
I -1.0114 -5.3108 7.7426
I 2.4006 -0.5637 12.9311
I -1.6507 0.3878 13.0545
I 0.7628 1.9463 10.0413
I 1.8211 -2.4702 8.6045
I -2.2301 -1.5188 8.7279
I -0.5924 -4.0288 11.6176
```

Material: CsNiI2
Method: DFT, PBE
State: optimized geometry Values from VASP.

Summary:
- Spin magnetization: 0.3002 μB/atom
- Energy relative to the lowest polymorph listed for this composition: 441.0 meV/atom
- Formation energy from raw total energies: -186 meV/atom
- DFT total energy: -2.62 eV/atom

Cell and atoms, written as Quantum ESPRESSO input:
```
&SYSTEM
  ibrav = 0, nat = 4, ntyp = 3
/
ATOMIC_SPECIES
Cs 132.91 Cs.upf
I 126.90 I.upf
Ni 58.69 Ni.upf
CELL_PARAMETERS angstrom
4.2796 0.0000 0.0000
2.1398 3.7062 0.0000
2.1398 1.2354 10.0846
ATOMIC_POSITIONS angstrom
Cs 0.0000 0.0000 0.0000
I 2.1398 1.2354 6.4796
I 6.4194 3.7062 3.6050
Ni 4.2796 2.4708 5.0423
```

Material: Cs2NiI4
Method: DFT, PBE
State: optimized geometry Values from VASP.

Summary:
- Spin magnetization: 0.0000 μB/atom
- Formation energy from raw total energies: -877 meV/atom
- DFT total energy: -2.83 eV/atom

Cell and atoms, written as Quantum ESPRESSO input:
```
&SYSTEM
  ibrav = 0, nat = 7, ntyp = 3
/
ATOMIC_SPECIES
Cs 132.91 Cs.upf
I 126.90 I.upf
Ni 58.69 Ni.upf
CELL_PARAMETERS angstrom
-2.0893 -1.3267 -5.1491
0.6875 -5.5533 1.1519
-9.2176 -3.7605 1.5397
ATOMIC_POSITIONS angstrom
Cs -7.5183 -7.1102 -1.4561
Cs -3.1010 -3.5303 -1.0015
I -3.8327 -6.9715 -2.9873
I -6.7867 -3.6690 0.5297
I 0.3438 -2.7766 0.5759
I -1.0446 -0.6634 -2.5746
Ni 0.0000 0.0000 0.0000
```

Material: Cs3NiI
Method: DFT, PBE
State: optimized geometry Values from VASP.

Summary:
- Spin magnetization: 0.0000 μB/atom
- Formation energy from raw total energies: -188 meV/atom
- DFT total energy: -2.17 eV/atom

Cell and atoms, written as Quantum ESPRESSO input:
```
&SYSTEM
  ibrav = 0, nat = 5, ntyp = 3
/
ATOMIC_SPECIES
Cs 132.91 Cs.upf
I 126.90 I.upf
Ni 58.69 Ni.upf
CELL_PARAMETERS angstrom
-0.7539 2.7722 -5.7957
-3.7045 -4.9552 -1.8883
-5.2489 3.0990 2.1652
ATOMIC_POSITIONS angstrom
Cs -1.8523 -2.4776 -0.9442
Cs -2.6245 1.5495 1.0826
Cs -0.3770 1.3861 -2.8978
I -4.8537 0.4580 -2.7594
Ni 0.0000 0.0000 0.0000
```

Material: Cs2NiI
Method: DFT, PBE
State: optimized geometry Values from VASP.

Summary:
- Spin magnetization: 0.2500 μB/atom
- Energy relative to the lowest polymorph listed for this composition: 89.3 meV/atom
- Formation energy from raw total energies: -58 meV/atom
- DFT total energy: -2.32 eV/atom

Cell and atoms, written as Quantum ESPRESSO input:
```
&SYSTEM
  ibrav = 0, nat = 8, ntyp = 3
/
ATOMIC_SPECIES
Cs 132.91 Cs.upf
I 126.90 I.upf
Ni 58.69 Ni.upf
CELL_PARAMETERS angstrom
8.4555 0.0000 0.0000
0.0000 8.4555 0.0000
4.2277 4.2277 8.7167
ATOMIC_POSITIONS angstrom
Cs 6.2005 2.1139 2.1792
Cs 2.2550 6.3416 2.1792
Cs 6.3416 6.4827 6.5375
Cs 10.5693 10.4283 6.5375
I 0.0000 0.0000 0.0000
I 8.4555 4.2277 4.3583
Ni 4.2277 4.2277 0.0000
Ni 4.2277 8.4555 4.3583
```

Material: CsNiI2
Method: DFT, PBE
State: optimized geometry Values from VASP.

Summary:
- Spin magnetization: 0.2509 μB/atom
- Energy relative to the lowest polymorph listed for this composition: 660.7 meV/atom
- Formation energy from raw total energies: 34 meV/atom
- DFT total energy: -2.40 eV/atom

Cell and atoms, written as Quantum ESPRESSO input:
```
&SYSTEM
  ibrav = 0, nat = 4, ntyp = 3
/
ATOMIC_SPECIES
Cs 132.91 Cs.upf
I 126.90 I.upf
Ni 58.69 Ni.upf
CELL_PARAMETERS angstrom
0.0000 4.1998 4.1998
4.1998 0.0000 4.1998
4.1998 4.1998 0.0000
ATOMIC_POSITIONS angstrom
Cs 4.1998 4.1998 4.1998
I 2.0999 2.0999 2.0999
I 6.2997 6.2997 6.2997
Ni 0.0000 0.0000 0.0000
```

Material: CsNi3I
Method: DFT, PBE
State: optimized geometry Values from VASP.

Summary:
- Spin magnetization: 0.0000 μB/atom
- Energy relative to the lowest polymorph listed for this composition: 0.0 meV/atom
- Formation energy from raw total energies: 833 meV/atom
- DFT total energy: -3.12 eV/atom

Cell and atoms, written as Quantum ESPRESSO input:
```
&SYSTEM
  ibrav = 0, nat = 5, ntyp = 3
/
ATOMIC_SPECIES
Cs 132.91 Cs.upf
I 126.90 I.upf
Ni 58.69 Ni.upf
CELL_PARAMETERS angstrom
-1.8146 4.3766 -1.1616
-4.5109 -1.8561 0.0532
-0.3943 1.0939 4.7376
ATOMIC_POSITIONS angstrom
Cs -3.3599 1.8072 1.8146
I 0.0000 0.0000 0.0000
Ni -2.2555 -0.9281 0.0266
Ni -0.1971 0.5470 2.3688
Ni -0.9073 2.1883 -0.5808
```

Material: CsNi2I
Method: DFT, PBE
State: optimized geometry Values from VASP.

Summary:
- Spin magnetization: 0.0000 μB/atom
- Energy relative to the lowest polymorph listed for this composition: 0.0 meV/atom
- Formation energy from raw total energies: 265 meV/atom
- DFT total energy: -3.23 eV/atom

Cell and atoms, written as Quantum ESPRESSO input:
```
&SYSTEM
  ibrav = 0, nat = 8, ntyp = 3
/
ATOMIC_SPECIES
Cs 132.91 Cs.upf
I 126.90 I.upf
Ni 58.69 Ni.upf
CELL_PARAMETERS angstrom
5.4755 0.0000 0.0000
0.0000 5.4755 0.0000
2.7377 2.7377 7.9870
ATOMIC_POSITIONS angstrom
Cs 0.0000 0.0000 0.0000
Cs 5.4755 2.7377 3.9935
I 2.7377 2.7377 0.0000
I 2.7377 5.4755 3.9935
Ni 2.7427 1.3689 1.9967
Ni 2.7328 4.1066 1.9967
Ni 4.1066 5.4705 5.9902
Ni 6.8443 5.4804 5.9902
```

Material: CsNiI2
Method: DFT, PBE
State: optimized geometry Values from VASP.

Summary:
- Spin magnetization: 0.2500 μB/atom
- Energy relative to the lowest polymorph listed for this composition: 0.0 meV/atom
- Formation energy from raw total energies: -627 meV/atom
- DFT total energy: -3.06 eV/atom

Cell and atoms, written as Quantum ESPRESSO input:
```
&SYSTEM
  ibrav = 0, nat = 8, ntyp = 3
/
ATOMIC_SPECIES
Cs 132.91 Cs.upf
I 126.90 I.upf
Ni 58.69 Ni.upf
CELL_PARAMETERS angstrom
-3.2186 -5.3485 -5.6311
-0.2753 -6.0131 5.8688
-5.7908 -4.4141 1.2270
ATOMIC_POSITIONS angstrom
Cs 0.0000 0.0000 0.0000
Cs -5.3782 -7.7217 -2.1426
I -3.0999 -4.5435 -1.7899
I -2.4160 -6.1849 2.5817
I -5.6870 -8.3071 1.7276
I -7.3666 -12.5162 0.4100
Ni -1.7470 -5.6808 0.1188
Ni -3.9065 -8.0540 3.6073
```

Material: Cs4NiI5
Method: DFT, PBE
State: optimized geometry Values from VASP.

Summary:
- Spin magnetization: 0.1000 μB/atom
- Formation energy from raw total energies: -1062 meV/atom
- DFT total energy: -2.76 eV/atom

Cell and atoms, written as Quantum ESPRESSO input:
```
&SYSTEM
  ibrav = 0, nat = 10, ntyp = 3
/
ATOMIC_SPECIES
Cs 132.91 Cs.upf
Ni 58.69 Ni.upf
I 126.90 I.upf
CELL_PARAMETERS angstrom
7.7693 0.0000 0.0000
3.8847 8.1510 0.0000
3.8847 0.0000 8.1510
ATOMIC_POSITIONS angstrom
Cs 7.8365 3.1475 6.4191
Cs 11.7212 6.4191 5.0034
Cs 3.9519 1.7319 3.1475
Cs 7.8365 5.0034 1.7319
Ni 0.5142 0.0000 0.0000
I 11.6658 2.6100 6.8518
I 7.7811 6.8518 5.5410
I 7.7811 1.2992 2.6100
I 3.8965 5.5410 1.2992
I 3.1344 0.0000 0.0000
```

no.,volume (Å³/atom)
1,50.8
2,55.5
3,52.0
4,42.1
5,39.9
6,46.1
7,43.7
8,23.7
9,47.8
10,22.6
11,48.1
12,40.0
13,43.0
14,54.1
15,77.9
16,37.0
17,23.2
18,29.9
19,38.7
20,51.6